Ce2Sb4Au (PBE-GGA, optimized geometry); crystal system = tetragonal
1.0
-4.266 -1.153 -0.411
1.075 -2.812 -3.261
1.287 -7.097 6.545
Ce Sb Au
2 4 1
Direct
0.500 0.000 0.757 Ce
0.000 0.500 0.243 Ce
0.500 0.000 0.170 Sb
0.000 0.500 0.830 Sb
0.500 0.500 0.500 Sb
0.000 0.000 0.500 Sb
0.500 0.500 0.000 Au


Ce3Sb2Au9 (PBE-GGA, optimized geometry); crystal system = orthorhombic
1.0
-2.954 -2.728 -2.235
6.024 0.250 -8.268
1.785 -4.203 7.506
Ce Sb Au
3 2 9
Direct
0.000 0.000 0.000 Ce
0.296 0.296 0.592 Ce
0.704 0.704 0.408 Ce
0.500 0.308 0.000 Sb
0.500 0.692 0.000 Sb
0.000 0.500 0.000 Au
0.343 0.974 0.686 Au
0.657 0.026 0.314 Au
0.343 0.712 0.686 Au
0.657 0.288 0.314 Au
0.142 0.854 0.285 Au
0.858 0.146 0.715 Au
0.142 0.431 0.285 Au
0.858 0.569 0.715 Au


Ce2SbAu3 (PBE-GGA, optimized geometry); crystal system = orthorhombic; excess energy over the best structure of this formula in the dataset = 0.0 meV per atom
1.0
0.207 4.870 -3.536
0.429 -4.754 -3.672
-8.600 -0.239 2.871
Ce Sb Au
4 2 6
Direct
0.250 0.750 0.500 Ce
0.768 0.768 0.000 Ce
0.750 0.250 0.500 Ce
0.232 0.232 0.000 Ce
0.334 0.334 0.668 Sb
0.666 0.666 0.332 Sb
0.667 0.168 0.834 Au
0.832 0.333 0.166 Au
0.333 0.832 0.166 Au
0.168 0.667 0.834 Au
0.835 0.835 0.670 Au
0.165 0.165 0.330 Au


Uncorrected energy (eV per atom)
-5.284, -4.436, -5.044
Formation energy without anion corrections (eV/atom)
-0.765, -0.469, -0.740
Fermi-level density of states (states/eV/f.u.)
7.2, 24.1, 12.4